--- P ---
Entry from Alexandria via LeMat-Bulk: a PBEsol-optimized structure of MnReAs2 (SCAN).

Calculated values
Its total magnetic moment is 1.76 μB/f.u. Its density of states at the Fermi level is 2.5 states/eV per cell.

a = 2.815 Å, b = 2.815 Å, c = 9.731 Å
α = 81.68°, β = 81.68°, γ = 60.00°
Fractional positions:
1 As 0.979 0.979 0.062
2 As 0.775 0.775 0.676
3 Mn 0.505 0.505 0.484
4 Re 0.240 0.240 0.279

=====

--- Q ---
Entry from Alexandria via LeMat-Bulk: a PBEsol-optimized structure of MnReAs2 (SCAN).

Calculated values
Its total magnetic moment is 2.31 μB/f.u. Its density of states at the Fermi level is 2.9 states/eV per cell.

a = 3.011 Å, b = 4.230 Å, c = 4.230 Å
α = 90.00°, β = 90.00°, γ = 90.00°
Fractional positions:
1 As 0.000 0.000 0.500
2 As 0.000 0.500 0.000
3 Mn 0.500 0.500 0.500
4 Re 0.500 0.000 0.000

=====

Most stable: P

=====

--- P ---
Entry from Alexandria via LeMat-Bulk: a PBEsol-optimized structure of Tl2SiAu (SCAN).

Calculated values
Its total magnetic moment is 0.00 μB/f.u. Its density of states at the Fermi level is 1.6 states/eV per cell.

a = 3.497 Å, b = 4.038 Å, c = 6.270 Å
α = 90.00°, β = 99.55°, γ = 90.00°
Fractional positions:
1 Au 0.500 0.500 0.000
2 Si 0.500 0.500 0.500
3 Tl 0.989 0.000 0.750
4 Tl 0.011 0.000 0.250

=====

--- Q ---
Entry from Alexandria via LeMat-Bulk: a PBEsol-optimized structure of Tl2SiAu (SCAN).

Calculated values
Its total magnetic moment is 0.00 μB/f.u. Its density of states at the Fermi level is 1.7 states/eV per cell.

a = 3.333 Å, b = 3.338 Å, c = 8.209 Å
α = 90.00°, β = 90.00°, γ = 90.00°
Fractional positions:
1 Au 0.000 0.000 0.564
2 Si 0.500 0.500 0.687
3 Tl 0.000 0.000 0.960
4 Tl 0.500 0.500 0.289

=====

Most stable: Q

=====

--- P ---
Entry from Alexandria via LeMat-Bulk: a PBEsol-optimized structure of CaAsI2 (SCAN).

Calculated values
Its total magnetic moment is 2.79 μB/f.u. Its density of states at the Fermi level is 2.5 states/eV per cell.

a = 5.445 Å, b = 5.445 Å, c = 5.445 Å
α = 60.00°, β = 60.00°, γ = 60.00°
Fractional positions:
1 I 0.250 0.250 0.250
2 I 0.750 0.750 0.750
3 As 0.500 0.500 0.500
4 Ca 0.000 0.000 0.000

=====

--- Q ---
Entry from Alexandria via LeMat-Bulk: a PBEsol-optimized structure of CaAsI2 (SCAN).

Calculated values
Its total magnetic moment is 0.00 μB/f.u. Its density of states at the Fermi level is 5.5 states/eV per cell.

a = 5.249 Å, b = 5.249 Å, c = 10.553 Å
α = 104.40°, β = 104.40°, γ = 90.00°
Fractional positions:
1 I 0.361 0.875 0.250
2 I 0.889 0.375 0.250
3 I 0.125 0.111 0.750
4 I 0.625 0.639 0.750
5 As 0.250 0.750 0.500
6 As 0.000 0.000 0.000
7 Ca 0.750 0.250 0.500
8 Ca 0.500 0.500 0.000

=====

Most stable: Q

=====

--- P ---
Entry from Alexandria via LeMat-Bulk: a PBEsol-optimized structure of Tl2RhPb (SCAN).

Calculated values
Its total magnetic moment is 0.00 μB/f.u. Its density of states at the Fermi level is 2.1 states/eV per cell.

a = 4.649 Å, b = 5.304 Å, c = 4.649 Å
α = 115.99°, β = 90.00°, γ = 115.99°
Fractional positions:
1 Pb 0.500 0.000 0.500
2 Rh 0.250 0.500 0.750
3 Tl 0.000 0.000 0.000
4 Tl 0.750 0.500 0.250

=====

--- Q ---
Entry from Alexandria via LeMat-Bulk: a PBEsol-optimized structure of Tl2RhPb (SCAN).

Calculated values
Its total magnetic moment is 0.00 μB/f.u. Its density of states at the Fermi level is 1.9 states/eV per cell.

a = 3.271 Å, b = 3.271 Å, c = 8.671 Å
α = 90.00°, β = 90.00°, γ = 90.01°
Fractional positions:
1 Pb 0.000 0.000 0.443
2 Tl 0.000 0.000 0.051
3 Tl 0.500 0.500 0.758
4 Rh 0.500 0.500 0.248

=====

Most stable: Q

=====

--- P ---
Entry from Alexandria via LeMat-Bulk: a PBEsol-optimized structure of LiCaTl (SCAN).

Calculated values
Its total magnetic moment is 0.00 μB/f.u. Its density of states at the Fermi level is 2.1 states/eV per cell.

a = 3.527 Å, b = 4.969 Å, c = 4.969 Å
α = 120.00°, β = 90.00°, γ = 90.00°
Fractional positions:
1 Tl 0.500 0.667 0.333
2 Ca 0.000 0.000 0.000
3 Li 0.500 0.333 0.667

=====

--- Q ---
Entry from Alexandria via LeMat-Bulk: a PBEsol-optimized structure of LiCaTl (SCAN).

Calculated values
Its total magnetic moment is 0.00 μB/f.u. Its density of states at the Fermi level is 0.8 states/eV per cell.

a = 3.806 Å, b = 3.806 Å, c = 5.864 Å
α = 108.93°, β = 108.93°, γ = 90.00°
Fractional positions:
1 Tl 0.686 0.686 0.372
2 Ca 0.004 0.004 0.007
3 Li 0.310 0.310 0.621

=====

Most stable: P

=====

--- P ---
Entry from Alexandria via LeMat-Bulk: a PBEsol-optimized structure of OsRuRh2 (SCAN).

Calculated values
Its total magnetic moment is 0.00 μB/f.u. Its density of states at the Fermi level is 3.5 states/eV per cell.

a = 2.656 Å, b = 4.664 Å, c = 4.664 Å
α = 110.59°, β = 90.00°, γ = 90.00°
Fractional positions:
1 Rh 0.000 0.500 0.000
2 Rh 0.000 0.000 0.500
3 Os 0.500 0.500 0.500
4 Ru 0.500 0.000 0.000

=====

--- Q ---
Entry from Alexandria via LeMat-Bulk: a PBEsol-optimized structure of OsRuRh2 (SCAN).

Calculated values
Its total magnetic moment is 0.00 μB/f.u. Its density of states at the Fermi level is 3.1 states/eV per cell.

a = 2.643 Å, b = 4.140 Å, c = 5.166 Å
α = 90.00°, β = 104.82°, γ = 90.00°
Fractional positions:
1 Os 0.428 0.500 0.855
2 Rh 0.825 0.000 0.651
3 Rh 0.682 0.500 0.365
4 Ru 0.079 0.000 0.158

=====

Most stable: P

=====

--- P ---
Entry from Alexandria via LeMat-Bulk: a PBEsol-optimized structure of Tl2HgSb (SCAN).

Calculated values
Its total magnetic moment is 0.00 μB/f.u. Its density of states at the Fermi level is 1.5 states/eV per cell.

a = 5.369 Å, b = 5.369 Å, c = 5.369 Å
α = 60.00°, β = 60.00°, γ = 60.00°
Fractional positions:
1 Sb 0.000 0.000 0.000
2 Tl 0.250 0.250 0.250
3 Tl 0.750 0.750 0.750
4 Hg 0.500 0.500 0.500

=====

--- Q ---
Entry from Alexandria via LeMat-Bulk: a PBEsol-optimized structure of Tl2HgSb (SCAN).

Calculated values
Its total magnetic moment is 0.00 μB/f.u. Its density of states at the Fermi level is 1.5 states/eV per cell.

a = 3.382 Å, b = 4.336 Å, c = 7.384 Å
α = 90.00°, β = 90.00°, γ = 90.00°
Fractional positions:
1 Sb 0.500 0.500 0.735
2 Tl 0.000 0.000 0.985
3 Tl 0.500 0.500 0.272
4 Hg 0.000 0.000 0.508

=====

Most stable: P

=====

--- P ---
Entry from Alexandria via LeMat-Bulk: a PBEsol-optimized structure of YTa2Mn (SCAN).

Calculated values
Its total magnetic moment is 0.00 μB/f.u. Its density of states at the Fermi level is 3.7 states/eV per cell.

a = 3.188 Å, b = 4.950 Å, c = 5.361 Å
α = 113.37°, β = 107.30°, γ = 90.00°
Fractional positions:
1 Mn 0.268 0.832 0.536
2 Ta 0.965 0.955 0.931
3 Ta 0.741 0.202 0.481
4 Y 0.526 0.510 0.052

=====

--- Q ---
Entry from Alexandria via LeMat-Bulk: a PBEsol-optimized structure of YTa2Mn (SCAN).

Calculated values
Its total magnetic moment is 0.00 μB/f.u. Its density of states at the Fermi level is 3.3 states/eV per cell.

a = 3.047 Å, b = 4.060 Å, c = 6.280 Å
α = 90.00°, β = 101.69°, γ = 90.00°
Fractional positions:
1 Mn 0.545 0.500 0.817
2 Ta 0.916 0.000 0.975
3 Ta 0.455 0.500 0.186
4 Y 0.084 0.000 0.522

=====

Most stable: Q